No. 1
First-principles (PBE-GGA) data for a relaxed structure of SrLa2OsPb, as listed in Alexandria via LeMat-Bulk.

Results
The value obtained for the final energy is -27.262 eV for the cell shown. The symmetry is P4/mmm, No. 123. The formation energy comes out at -0.8 eV/f.u. The density of states at the Fermi level comes out at 3.46 states/eV/f.u.

abc: 5.4788 5.4788 5.8703
angles: 90.00 90.00 90.00
Closest atoms and distances in Å follow each position.
Atoms (fractional coordinates):
Sr1 0.0000 0.0000 0.0000  2 Os 2.94
La1 0.0000 0.5000 0.5000  2 Os 2.74
La2 0.5000 0.0000 0.5000  2 Os 2.74
Os1 0.0000 0.0000 0.5000  4 La 2.74, 2 Sr 2.94
Pb1 0.5000 0.5000 0.0000  4 Sr 3.87, 8 La 4.01

***

No. 2
First-principles (PBE-GGA) data for a relaxed structure of GaTcRh3, as listed in Alexandria via LeMat-Bulk.

Results
The value obtained for the final energy is -30.094 eV for the cell shown. The energy relative to the lowest polymorph listed for this composition comes out at 66.0 meV/atom. The symmetry is Pm-3m, No. 221. The formation energy comes out at 5.4 eV/f.u. The density of states at the Fermi level comes out at 3.92 states/eV/f.u.

abc: 4.6757 4.6757 4.6757
angles: 90.00 90.00 90.00
Closest atoms and distances in Å follow each position.
Atoms (fractional coordinates):
Ga1 0.0000 0.0000 0.0000  12 Rh 3.31
Tc1 0.5000 0.5000 0.5000  6 Rh 2.34
Rh1 0.0000 0.5000 0.5000  2 Tc 2.34
Rh2 0.5000 0.0000 0.5000  2 Tc 2.34
Rh3 0.5000 0.5000 0.0000  2 Tc 2.34

***

No. 3
First-principles (PBE-GGA) data for a relaxed structure of MgTiPb, as listed in Alexandria via LeMat-Bulk.

Results
The value obtained for the final energy is -12.564 eV for the cell shown. The symmetry is P3m1, No. 156. The formation energy comes out at 0.6 eV/f.u. The density of states at the Fermi level comes out at 3.43 states/eV/f.u.

abc: 4.8276 4.8276 3.2377
angles: 90.00 90.00 120.00
Closest atoms and distances in Å follow each position.
Atoms (fractional coordinates):
Mg1 0.0000 0.0000 0.0000  3 Pb 2.88, 3 Ti 3.11
Ti1 0.6667 0.3333 0.4251  3 Pb 3.01, 6 Mg 3.11-3.35, 2 Ti 3.24
Pb1 0.3333 0.6667 0.7755  3 Mg 2.88, 3 Ti 3.01

***

No. 4
First-principles (PBE-GGA) data for a relaxed structure of Ba4IrAu2, as listed in Alexandria via LeMat-Bulk.

Results
The value obtained for the final energy is -25.314 eV for the cell shown. The symmetry is I4/mmm, No. 139. The formation energy comes out at -2.2 eV/f.u. The density of states at the Fermi level comes out at 6.54 states/eV/f.u.

abc: 9.0065 9.0065 9.0065
angles: 140.03 140.03 57.81
Closest atoms and distances in Å follow each position.
Atoms (fractional coordinates):
Ba1 0.0000 0.5000 0.5000  2 Ir 3.08
Ba2 0.1899 0.1899 0.0000  1 Ir 2.99, 1 Au 3.29
Ba3 0.5000 0.0000 0.5000  2 Ir 3.08
Ba4 0.8101 0.8101 0.0000  1 Ir 2.99, 1 Au 3.29
Ir1 0.0000 0.0000 0.0000  6 Ba 2.99-3.08
Au1 0.3988 0.3988 0.0000  1 Au 3.19, 5 Ba 3.29-3.47
Au2 0.6012 0.6012 0.0000  1 Au 3.19, 5 Ba 3.29-3.47